Material: RbIn2Br3
Method: DFT, PBE
State: relaxed

Cell: 4.9867 4.9854 10.4974 Å, 103.74 103.74 90.00°
Positions (direct):
Rb (0.4339, 0.4361, 0.8740)
In (0.7661, 0.7673, 0.5374)
In (0.1027, 0.1039, 0.2105)
Br (0.2627, 0.2636, 0.5305)
Br (0.9339, 0.9360, 0.8739)
Br (0.6061, 0.6071, 0.2175)

Computed properties:
Mass density, g/cm³: 3.748
Uncorrected formation energy, eV per atom: -1.00
DFT total energy, eV/atom: -2.91

Material: Rb5In3Br12
Method: DFT, PBE
State: relaxed

Cell: 17.0478 17.0478 17.0478 Å, 109.47 109.47 109.47°
Positions (direct):
Br (0.1164, 0.4821, 0.6908)
Br (0.0179, 0.3092, 0.3836)
Br (0.9821, 0.6908, 0.6164)
Br (0.4256, 0.8092, 0.2913)
Br (0.5744, 0.3836, 0.3657)
Br (0.8657, 0.0744, 0.3836)
Br (0.3092, 0.0179, 0.8836)
Br (0.2913, 0.3092, 0.4256)
Br (0.0744, 0.2087, 0.6908)
Br (0.6908, 0.7087, 0.0744)
Br (0.4821, 0.1164, 0.1908)
Br (0.4256, 0.6164, 0.6343)
Br (0.3657, 0.8836, 0.5744)
Br (0.9256, 0.7913, 0.3092)
Br (0.6908, 0.9821, 0.1164)
Br (0.3836, 0.8092, 0.0179)
Br (0.6164, 0.4256, 0.1343)
Br (0.8836, 0.3657, 0.0744)
Br (0.8657, 0.7913, 0.9821)
Br (0.7913, 0.8657, 0.4821)
Br (0.6164, 0.1908, 0.9821)
Br (0.3657, 0.4821, 0.2913)
Br (0.9821, 0.2913, 0.8657)
Br (0.5179, 0.6343, 0.2087)
Br (0.2913, 0.9821, 0.3657)
Br (0.1164, 0.6343, 0.9256)
Br (0.5179, 0.8836, 0.8092)
Br (0.8836, 0.5179, 0.3092)
Br (0.1343, 0.9256, 0.6164)
Br (0.7087, 0.6908, 0.5744)
Br (0.7913, 0.9256, 0.8092)
Br (0.9256, 0.1343, 0.1164)
Br (0.0179, 0.7087, 0.1343)
Br (0.5744, 0.1908, 0.7087)
Br (0.4821, 0.3657, 0.7913)
Br (0.6343, 0.1164, 0.4256)
Br (0.3092, 0.2913, 0.9256)
Br (0.8092, 0.4256, 0.7913)
Br (0.8092, 0.3836, 0.5179)
Br (0.7087, 0.0179, 0.6343)
Br (0.0744, 0.8657, 0.8836)
Br (0.3836, 0.5744, 0.8657)
Br (0.6343, 0.5179, 0.7087)
Br (0.1908, 0.5744, 0.2087)
Br (0.1908, 0.6164, 0.4821)
Br (0.1343, 0.2087, 0.0179)
Br (0.2087, 0.1343, 0.5179)
Br (0.2087, 0.0744, 0.1908)
In (0.8750, 0.7500, 0.1250)
In (0.8750, 0.1250, 0.2500)
In (0.1250, 0.2500, 0.8750)
In (0.3750, 0.6250, 0.2500)
In (0.3750, 0.7500, 0.6250)
In (0.2500, 0.6250, 0.8750)
In (0.7500, 0.3750, 0.1250)
In (0.6250, 0.2500, 0.3750)
In (0.1250, 0.8750, 0.7500)
In (0.6250, 0.3750, 0.7500)
In (0.7500, 0.8750, 0.6250)
In (0.2500, 0.1250, 0.3750)
Rb (0.0000, 0.0000, 0.5000)
Rb (0.3750, 0.1250, 0.7500)
Rb (0.0000, 0.5000, 0.0000)
Rb (0.8750, 0.2500, 0.6250)
Rb (0.6250, 0.7500, 0.8750)
Rb (0.1250, 0.7500, 0.3750)
Rb (0.5000, 0.0000, 0.5000)
Rb (0.3750, 0.2500, 0.1250)
Rb (0.6250, 0.8750, 0.2500)
Rb (0.1250, 0.3750, 0.2500)
Rb (0.5000, 0.5000, 0.5000)
Rb (0.0000, 0.5000, 0.5000)
Rb (0.7500, 0.6250, 0.3750)
Rb (0.2500, 0.3750, 0.6250)
Rb (0.0000, 0.0000, 0.0000)
Rb (0.5000, 0.5000, 0.0000)
Rb (0.7500, 0.1250, 0.8750)
Rb (0.2500, 0.8750, 0.1250)
Rb (0.5000, 0.0000, 0.0000)
Rb (0.8750, 0.6250, 0.7500)

Computed properties:
Mass density, g/cm³: 3.014
Uncorrected formation energy, eV per atom: -1.16
DFT total energy, eV/atom: -2.81

Material: Rb2InBr5
Method: DFT, PBE
State: relaxed

Cell: 10.0448 13.2955 14.1581 Å, 90.00 90.00 90.00°
Last column: magnetic moment on the atom in μB.
Positions (direct):
In (0.0000, 0.2422, 0.2689)  0.00
In (0.5000, 0.7422, 0.2311)  0.00
In (0.5000, 0.2578, 0.7689)  0.00
In (0.0000, 0.7578, 0.7311)  0.00
Rb (0.2732, 0.5000, 0.5000)  0.00
Rb (0.5000, 0.6393, 0.8393)  0.00
Rb (0.2268, 0.0000, 0.0000)  0.00
Rb (0.5000, 0.3607, 0.1607)  0.00
Rb (0.0000, 0.1393, 0.6607)  0.00
Rb (0.7268, 0.5000, 0.5000)  0.00
Rb (0.0000, 0.8607, 0.3393)  0.00
Rb (0.7732, 0.0000, 0.0000)  0.00
Br (0.2939, 0.2866, 0.6677)  0.00
Br (0.5000, 0.3835, 0.9065)  0.00
Br (0.7939, 0.2134, 0.1677)  0.00
Br (0.7061, 0.2866, 0.6677)  0.00
Br (0.0000, 0.1233, 0.8839)  0.09
Br (0.5000, 0.6165, 0.0935)  0.00
Br (0.5000, 0.9185, 0.1592)  0.00
Br (0.7061, 0.7134, 0.3323)  0.00
Br (0.5000, 0.0815, 0.8408)  0.00
Br (0.0000, 0.1165, 0.4065)  0.00
Br (0.0000, 0.8835, 0.5935)  0.00
Br (0.5000, 0.6233, 0.6161)  0.09
Br (0.2061, 0.2134, 0.1677)  0.00
Br (0.2939, 0.7134, 0.3323)  0.00
Br (0.0000, 0.8767, 0.1161)  0.09
Br (0.2061, 0.7866, 0.8323)  0.00
Br (0.5000, 0.3767, 0.3839)  0.09
Br (0.7939, 0.7866, 0.8323)  0.00
Br (0.0000, 0.4185, 0.3408)  0.00
Br (0.0000, 0.5815, 0.6592)  0.00

Computed properties:
Polymorph energy (0 for the lowest one), meV per atom: 45.7
Mass density, g/cm³: 2.407
Uncorrected formation energy, eV per atom: -1.25
DFT total energy, eV/atom: -2.88

Material: RbIn2Br6
Method: DFT, PBE
State: relaxed

Cell: 8.7456 10.6088 10.6088 Å, 80.43 72.52 72.52°
Positions (direct):
Br (0.6746, 0.9657, 0.8150)
Br (0.3254, 0.0343, 0.1850)
Br (0.8265, 0.9541, 0.4038)
Br (0.1735, 0.0459, 0.5962)
Br (0.4061, 0.3454, 0.3550)
Br (0.9061, 0.3550, 0.3454)
Br (0.3265, 0.4038, 0.9541)
Br (0.0939, 0.6450, 0.6546)
Br (0.1746, 0.8150, 0.9657)
Br (0.6735, 0.5962, 0.0459)
Br (0.5939, 0.6546, 0.6450)
Br (0.8254, 0.1850, 0.0343)
In (0.7998, 0.8091, 0.6257)
In (0.2998, 0.6257, 0.8091)
In (0.7002, 0.3743, 0.1909)
In (0.2002, 0.1909, 0.3743)
Rb (0.7500, 0.8656, 0.1344)
Rb (0.2500, 0.1344, 0.8656)

Computed properties:
Mass density, g/cm³: 2.957
Uncorrected formation energy, eV per atom: -0.95
DFT total energy, eV/atom: -2.78